# Li6Ac2Sn3 PBE optimized geometry
# ΔE_f, eV per atom: -0.39
# N(E_F), states/eV/f.u.: 6.47
data_Li6Ac2Sn3
_cell_length_a 8.5649
_cell_length_b 8.5649
_cell_length_c 4.5385
_cell_angle_alpha 90.00
_cell_angle_beta 90.00
_cell_angle_gamma 120.00
_symmetry_space_group_name_H-M 'P -6 2 m'
_symmetry_Int_Tables_number 189
_symmetry_space_group_name_Hall 'P -6 -2'
loop_
_atom_site_label
_atom_site_type_symbol
_atom_site_fract_x
_atom_site_fract_y
_atom_site_fract_z
_atom_site_occupancy
Li1 Li 0.0000 0.1999 0.0000 1
Li2 Li 0.0000 0.7126 0.5000 1
Ac1 Ac 0.3333 0.6667 0.0000 1
Sn1 Sn 0.0000 0.3741 0.5000 1